Entry 1:
Below is AlRe2O after structural relaxation, with properties calculated at the PBE level. Values from VASP.

```
&SYSTEM
  ibrav = 0, nat = 8, ntyp = 3
/
ATOMIC_SPECIES
Al 26.98 Al.upf
Re 186.21 Re.upf
O 16.00 O.upf
CELL_PARAMETERS angstrom
-3.3623 3.3623 2.3867
3.3623 -3.3623 2.3867
3.3623 3.3623 -2.3867
ATOMIC_POSITIONS angstrom
Al 0.0000 0.0000 0.0000
Al 0.0000 3.3623 1.1933
Re 1.6812 -1.0670 1.7900
Re 2.2953 1.6812 0.5967
Re 1.6812 4.4293 -0.5967
Re 1.0670 1.6812 2.9833
O 3.3623 0.0000 1.1933
O 0.0000 0.0000 2.3867
```

Calculated values
ΔE_f (raw) = 0.148 eV/atom
Offset from the most stable computed form = 0.000 eV per formula unit


Entry 2:
Below is Ho6Zn2Ga after structural relaxation, with properties calculated at the PBE level. Values from VASP.

```
&SYSTEM
  ibrav = 0, nat = 9, ntyp = 3
/
ATOMIC_SPECIES
Ho 164.93 Ho.upf
Zn 65.41 Zn.upf
Ga 69.72 Ga.upf
CELL_PARAMETERS angstrom
-2.4543 2.4543 10.5173
2.4543 -2.4543 10.5173
2.4543 2.4543 -10.5173
ATOMIC_POSITIONS angstrom
Ho 2.4543 0.0000 1.7714
Ho 2.4543 0.0000 5.2586
Ho 2.4543 0.0000 8.7459
Ho 0.0000 2.4543 1.7714
Ho 0.0000 2.4543 5.2586
Ho 0.0000 2.4543 8.7459
Zn 0.0000 0.0000 3.5064
Zn 0.0000 0.0000 17.5282
Ga 0.0000 0.0000 10.5173
```

Calculated values
Offset from the most stable computed form = 1.796 eV per formula unit
Energy relative to the elements = -0.066 eV/atom


Entry 3:
Below is TlNiAs after structural relaxation, with properties calculated at the PBE level. Values from VASP.

```
&SYSTEM
  ibrav = 0, nat = 6, ntyp = 3
/
ATOMIC_SPECIES
Tl 204.38 Tl.upf
Ni 58.69 Ni.upf
As 74.92 As.upf
CELL_PARAMETERS angstrom
4.1773 0.0000 0.0000
0.0000 4.1801 0.0000
-0.0032 0.0000 7.5895
ATOMIC_POSITIONS angstrom
Tl 0.0000 0.0000 0.0000
Tl 2.0875 2.0900 2.5286
Ni -0.0003 2.0900 5.0596
Ni 2.0912 0.0000 5.0615
As 0.0016 0.0000 3.9372
As 2.0877 2.0900 6.1837
```

Calculated values
Offset from the most stable computed form = 0.062 eV per formula unit
Energy relative to the elements = -0.154 eV/atom


no.,magnetization (Bohr magnetons per cell),energy (eV per cell)
1,0.00,-66.013
2,0.00,-33.635
3,0.00,-26.519